Material: NdTlPt4
Method: DFT, GGA-PBE
State: optimized geometry

Its electronic total energy is -5.95 eV per atom. Its magnetic moment is 0.00 μB per cell.

The structure belongs to space group F-43m (No. 216); the cell edges are 7.737, 7.737 and 7.737 Å and the angles 90.00°, 90.00° and 90.00°. The inequivalent atoms are Nd at (0.000, 0.000, 0.000), Tl at (0.250, 0.250, 0.250) and Pt at (0.125, 0.125, 0.625).

Material: RbTcAgS3
Method: DFT, GGA-PBE
State: optimized geometry

Its electronic total energy is -4.85 eV per atom. The polymorph energy (0 for the lowest one) is 42 meV/atom. Its magnetic moment is 5.17 μB per cell.

The structure belongs to space group P2_1/m (No. 11); the cell edges are 8.296, 3.740 and 9.765 Å and the angles 90.00°, 112.35° and 90.00°. The inequivalent atoms are Rb at (0.248, 0.250, 0.275), Tc at (0.325, 0.750, 0.854), Ag at (0.069, 0.250, 0.612), S at (0.138, 0.250, 0.880), S at (0.272, 0.750, 0.589) and S at (0.468, 0.750, 0.123).